(1)
A plane-wave DFT calculation with PBE-GGA was carried out for BaPuRhN3 after structural relaxation.

abc: 3.656 7.409 8.750
angles: 107.01 90.00 90.00
Last column: magnetic moment on the atom in μB.
Fractional coordinates of all 12 atoms:
Ba 0.750 0.800 0.805  0.01
Ba 0.250 0.200 0.195  0.01
Pu 0.250 0.673 0.141  3.83
Pu 0.750 0.327 0.859  3.83
Rh 0.250 0.045 0.615  0.10
Rh 0.750 0.955 0.385  0.10
N 0.250 0.838 0.397  -0.03
N 0.750 0.862 0.134  -0.15
N 0.750 0.459 0.117  -0.21
N 0.750 0.162 0.603  -0.03
N 0.250 0.541 0.883  -0.21
N 0.250 0.138 0.866  -0.15

## Properties
* energy relative to the elements, uncorrected: -11.91 kcal/mol of atoms

(2)
A plane-wave DFT calculation with PBE-GGA was carried out for Tl5I after structural relaxation.

abc: 4.171 5.637 9.013
angles: 108.22 90.00 90.00
Fractional coordinates of all 6 atoms:
I 0.000 0.000 0.000
Tl 0.500 0.825 0.649
Tl 0.000 0.667 0.333
Tl 0.500 0.500 0.000
Tl 0.000 0.333 0.667
Tl 0.500 0.175 0.351

## Properties
* energy relative to the elements, uncorrected: -2.44 kcal/mol of atoms

(3)
A plane-wave DFT calculation with PBE-GGA was carried out for Li2CuI3 after structural relaxation.

abc: 4.413 6.363 7.741
angles: 114.27 106.56 90.00
Fractional coordinates of all 6 atoms:
Li 0.835 0.586 0.670
Li 0.165 0.916 0.330
Cu 0.500 0.246 0.000
I 0.000 0.017 0.000
I 0.339 0.328 0.678
I 0.661 0.650 0.322

## Properties
* energy relative to the elements, uncorrected: -19.53 kcal/mol of atoms

(4)
A plane-wave DFT calculation with PBE-GGA was carried out for K2LaCu3F12 after structural relaxation.

abc: 6.933 6.933 6.933
angles: 66.51 66.51 66.51
Last column: magnetic moment on the atom in μB.
Fractional coordinates of all 18 atoms:
K 0.613 0.613 0.613  0.00
K 0.387 0.387 0.387  0.00
La 0.000 0.000 0.000  0.00
Cu 0.500 0.000 0.000  0.88
Cu 0.000 0.500 0.000  0.88
Cu 0.000 0.000 0.500  0.88
F 0.266 0.266 0.895  0.12
F 0.868 0.868 0.408  0.10
F 0.408 0.868 0.868  0.10
F 0.895 0.266 0.266  0.12
F 0.868 0.408 0.868  0.10
F 0.266 0.895 0.266  0.12
F 0.734 0.734 0.105  0.12
F 0.132 0.132 0.592  0.10
F 0.592 0.132 0.132  0.10
F 0.105 0.734 0.734  0.12
F 0.132 0.592 0.132  0.10
F 0.734 0.105 0.734  0.12

## Properties
* energy relative to the elements, uncorrected: -55.29 kcal/mol of atoms

(5)
A plane-wave DFT calculation with PBE-GGA was carried out for Ba6Sr3Li after structural relaxation.

abc: 7.789 7.789 11.051
angles: 90.00 90.00 120.00
Fractional coordinates of all 10 atoms:
Ba 0.645 0.645 0.821
Ba 0.000 0.355 0.821
Ba 0.355 0.000 0.821
Ba 0.000 0.645 0.179
Ba 0.355 0.355 0.179
Ba 0.645 0.000 0.179
Sr 0.000 0.000 0.500
Sr 0.667 0.333 0.500
Sr 0.333 0.667 0.500
Li 0.000 0.000 0.000

## Properties
* formation energy from the elements: 73.5 meV/atom

(6)
A plane-wave DFT calculation with PBE-GGA was carried out for TlCu3Au after structural relaxation.

abc: 4.848 4.848 4.848
angles: 90.00 90.00 90.00
Fractional coordinates of all 5 atoms:
Tl 0.000 0.000 0.000
Au 0.500 0.500 0.500
Cu 0.000 0.500 0.000
Cu 0.000 0.000 0.500
Cu 0.500 0.000 0.000

## Properties
* offset from the most stable computed form: 0.482 eV per atom
* formation energy from the elements: 1067.0 meV/atom

(7)
A plane-wave DFT calculation with PBE-GGA was carried out for SrZnIn after structural relaxation.

abc: 5.023 5.023 5.023
angles: 60.00 60.00 60.00
Fractional coordinates of all 3 atoms:
In 0.000 0.000 0.000
Sr 0.500 0.500 0.500
Zn 0.250 0.250 0.250

## Properties
* formation energy from the elements: -202.7 meV/atom

(8)
A plane-wave DFT calculation with PBE-GGA was carried out for HfCo3Sn after structural relaxation.

abc: 4.549 4.549 4.549
angles: 90.00 90.00 90.00
Last column: magnetic moment on the atom in μB.
Fractional coordinates of all 5 atoms:
Co 0.000 0.500 0.000  1.15
Co 0.000 0.000 0.500  1.21
Co 0.500 0.000 0.000  1.32
Hf 0.500 0.500 0.500  -0.27
Sn 0.000 0.000 0.000  -0.05

## Properties
* offset from the most stable computed form: 0.000 eV per atom
* formation energy from the elements: 1039.8 meV/atom

(9)
A plane-wave DFT calculation with PBE-GGA was carried out for TiMn3V after structural relaxation.

abc: 4.263 4.263 4.263
angles: 90.00 90.00 90.00
Last column: magnetic moment on the atom in μB.
Fractional coordinates of all 5 atoms:
V 0.000 0.000 0.000  -0.91
Mn 0.000 0.500 0.000  2.08
Mn 0.000 0.000 0.500  2.08
Mn 0.500 0.000 0.000  2.08
Ti 0.500 0.500 0.500  -1.05

## Properties
* offset from the most stable computed form: 0.000 eV per atom
* formation energy from the elements: 794.9 meV/atom

(10)
A plane-wave DFT calculation with PBE-GGA was carried out for CsScBS4 after structural relaxation.

abc: 6.203 5.847 9.458
angles: 90.00 106.63 90.00
Fractional coordinates of all 14 atoms:
Cs 0.739 0.750 0.950
Cs 0.261 0.250 0.050
Sc 0.771 0.750 0.452
Sc 0.229 0.250 0.548
B 0.249 0.750 0.348
B 0.751 0.250 0.652
S 0.980 0.493 0.685
S 0.020 0.993 0.315
S 0.020 0.507 0.315
S 0.980 0.007 0.685
S 0.432 0.750 0.220
S 0.568 0.250 0.780
S 0.423 0.750 0.550
S 0.577 0.250 0.450

## Properties
* energy relative to the elements, uncorrected: -24.26 kcal/mol of atoms

(11)
A plane-wave DFT calculation with PBE-GGA was carried out for Sc4PCl after structural relaxation.

abc: 5.746 5.746 5.746
angles: 60.00 60.00 60.00
Fractional coordinates of all 6 atoms:
Sc 0.879 0.374 0.374
Sc 0.374 0.374 0.879
Sc 0.374 0.879 0.374
Sc 0.374 0.374 0.374
P 0.000 0.000 0.000
Cl 0.750 0.750 0.750

## Properties
* energy relative to the elements, uncorrected: 4.16 kcal/mol of atoms

(12)
A plane-wave DFT calculation with PBE-GGA was carried out for TiAs2Ir after structural relaxation.

abc: 4.459 4.459 4.459
angles: 60.00 60.00 60.00
Fractional coordinates of all 4 atoms:
As 0.250 0.250 0.250
As 0.750 0.750 0.750
Ir 0.500 0.500 0.500
Ti 0.000 0.000 0.000

## Properties
* offset from the most stable computed form: 0.000 eV per atom
* formation energy from the elements: -247.0 meV/atom

(13)
A plane-wave DFT calculation with PBE-GGA was carried out for TbEr after structural relaxation.

abc: 4.559 4.559 4.559
angles: 60.00 60.00 60.00
Last column: magnetic moment on the atom in μB.
Fractional coordinates of all 2 atoms:
Tb 0.500 0.500 0.500  0.35
Er 0.000 0.000 0.000  0.37

## Properties
* offset from the most stable computed form: 0.785 eV per atom
* formation energy from the elements: 789.9 meV/atom

(14)
A plane-wave DFT calculation with PBE-GGA was carried out for La3PmTe4 after structural relaxation.

abc: 7.914 7.912 9.023
angles: 90.00 90.00 109.14
Fractional coordinates of all 16 atoms:
Pm 0.750 0.000 0.875
Pm 0.250 0.000 0.125
Te 0.997 0.247 0.627
Te 0.500 0.245 0.878
Te 0.497 0.247 0.373
Te 0.000 0.245 0.122
Te 0.000 0.755 0.878
Te 0.503 0.753 0.627
Te 0.500 0.755 0.122
Te 0.003 0.753 0.373
La 0.750 0.000 0.374
La 0.250 0.000 0.626
La 0.750 0.500 0.626
La 0.750 0.500 0.125
La 0.250 0.500 0.374
La 0.250 0.500 0.875

## Properties
* offset from the most stable computed form: 0.000 eV per atom
* energy relative to the elements, uncorrected: -35.77 kcal/mol of atoms

(15)
A plane-wave DFT calculation with PBE-GGA was carried out for Pr12Nd5Tl2 after structural relaxation.

abc: 9.560 9.258 8.803
angles: 93.15 90.00 121.09
Fractional coordinates of all 19 atoms:
Pr 0.920 0.840 0.115
Pr 0.037 0.705 0.764
Pr 0.668 0.705 0.764
Pr 0.182 0.751 0.337
Pr 0.569 0.751 0.337
Pr 0.444 0.888 0.681
Pr 0.556 0.112 0.319
Pr 0.818 0.249 0.663
Pr 0.431 0.249 0.663
Pr 0.963 0.295 0.236
Pr 0.332 0.295 0.236
Pr 0.080 0.160 0.885
Nd 0.233 0.466 0.584
Nd 0.313 0.626 0.992
Nd 0.000 0.000 0.500
Nd 0.687 0.374 0.008
Nd 0.767 0.534 0.416
Tl 0.683 0.000 0.000
Tl 0.317 0.000 0.000

## Properties
* formation energy from the elements: -3.8 meV/atom

(16)
A plane-wave DFT calculation with PBE-GGA was carried out for SnBi2Rh after structural relaxation.

abc: 6.410 6.410 8.098
angles: 66.68 66.68 90.00
Fractional coordinates of all 8 atoms:
Rh 0.500 0.500 0.000
Rh 0.250 0.750 0.500
Bi 0.571 0.125 0.250
Bi 0.179 0.625 0.250
Bi 0.375 0.429 0.750
Bi 0.875 0.821 0.750
Sn 0.000 0.000 0.000
Sn 0.750 0.250 0.500

## Properties
* formation energy from the elements: 185.1 meV/atom

(17)
A plane-wave DFT calculation with PBE-GGA was carried out for Ti6CoRe5 after structural relaxation.

abc: 4.373 6.202 7.592
angles: 114.11 106.74 90.00
Fractional coordinates of all 12 atoms:
Re 0.666 0.166 0.333
Re 0.334 0.334 0.668
Re 0.000 0.500 0.000
Re 0.666 0.666 0.332
Re 0.334 0.834 0.667
Co 0.000 0.000 0.000
Ti 0.834 0.585 0.668
Ti 0.834 0.083 0.668
Ti 0.500 0.752 0.000
Ti 0.500 0.248 0.000
Ti 0.166 0.917 0.332
Ti 0.166 0.415 0.332

## Properties
* formation energy from the elements: -406.4 meV/atom

(18)
A plane-wave DFT calculation with PBE-GGA was carried out for Sr2Mg3Cd after structural relaxation.

abc: 6.360 6.360 6.382
angles: 89.41 120.35 120.21
Fractional coordinates of all 6 atoms:
Sr 0.749 0.374 0.123
Sr 0.251 0.626 0.877
Mg 0.500 0.500 0.500
Mg 0.000 0.000 0.500
Mg 0.500 0.000 0.500
Cd 0.000 0.000 0.000

## Properties
* formation energy from the elements: -173.3 meV/atom

(19)
A plane-wave DFT calculation with PBE-GGA was carried out for MnTeRu3 after structural relaxation.

abc: 4.464 4.464 4.464
angles: 90.00 90.00 90.00
Fractional coordinates of all 5 atoms:
Ru 0.000 0.500 0.000
Ru 0.000 0.000 0.500
Ru 0.500 0.000 0.000
Te 0.500 0.500 0.500
Mn 0.000 0.000 0.000

## Properties
* offset from the most stable computed form: 0.000 eV per atom
* energy relative to the elements, uncorrected: 26.34 kcal/mol of atoms

(20)
A plane-wave DFT calculation with PBE-GGA was carried out for BaNaNb2 after structural relaxation.

abc: 3.547 5.461 13.968
angles: 100.14 90.29 108.75
Fractional coordinates of all 8 atoms:
Ba 0.335 0.163 0.253
Ba 0.665 0.837 0.747
Na 0.116 0.734 0.436
Na 0.884 0.266 0.564
Nb 0.565 0.627 0.098
Nb 0.435 0.373 0.902
Nb 0.859 0.217 0.032
Nb 0.141 0.783 0.968

## Properties
* offset from the most stable computed form: 0.088 eV per atom
* formation energy from the elements: 388.7 meV/atom

(21)
A plane-wave DFT calculation with PBE-GGA was carried out for Zr2V17 after structural relaxation.

abc: 6.596 6.596 6.596
angles: 85.08 85.08 85.08
Fractional coordinates of all 19 atoms:
Zr 0.333 0.333 0.333
Zr 0.667 0.667 0.667
V 0.645 0.645 0.158
V 0.158 0.645 0.645
V 0.904 0.904 0.904
V 0.096 0.096 0.096
V 0.000 0.000 0.500
V 0.000 0.500 0.000
V 0.500 0.000 0.000
V 0.303 0.697 0.000
V 0.697 0.000 0.303
V 0.000 0.303 0.697
V 0.697 0.303 0.000
V 0.303 0.000 0.697
V 0.000 0.697 0.303
V 0.842 0.355 0.355
V 0.355 0.355 0.842
V 0.355 0.842 0.355
V 0.645 0.158 0.645

## Properties
* formation energy from the elements: 108.2 meV/atom

(22)
A plane-wave DFT calculation with PBE-GGA was carried out for Er3ZnPd4 after structural relaxation.

abc: 3.860 6.283 8.097
angles: 112.83 103.79 90.00
Fractional coordinates of all 8 atoms:
Er 0.195 0.195 0.390
Er 0.805 0.805 0.610
Er 0.000 0.500 0.000
Zn 0.500 0.000 0.000
Pd 0.377 0.591 0.753
Pd 0.623 0.409 0.247
Pd 0.623 0.837 0.247
Pd 0.377 0.163 0.753

## Properties
* offset from the most stable computed form: 0.103 eV per atom
* formation energy from the elements: -710.5 meV/atom

(23)
A plane-wave DFT calculation with PBE-GGA was carried out for ErTi2Tc after structural relaxation.

abc: 3.184 3.184 7.551
angles: 90.00 90.00 90.00
Fractional coordinates of all 4 atoms:
Ti 0.000 0.000 0.812
Ti 0.000 0.000 0.188
Tc 0.500 0.500 0.000
Er 0.500 0.500 0.500

## Properties
* formation energy from the elements: -140.5 meV/atom